1.
Density functional theory data (PBE) for LiRe2Rh after structural relaxation.

calculated volume: 223.2 Å³/cell
density of states at the Fermi level: 6.357 states/eV/cell
total energy: -8.48 eV/atom
relative energy among the computed polymorphs: 0.00 eV/f.u.
mass density: 14351 kg/m³
calculated formation energy: 0.24 eV/f.u.

Geometry as CIF:
```
data_LiRe2Rh
_chemical_formula_sum 'Li4 Re8 Rh4'
_symmetry_space_group_name_H-M 'F -4 3 m'
_symmetry_Int_Tables_number 216
_symmetry_space_group_name_Hall 'F -4 2 3'
_cell_length_a 6.066
_cell_length_b 6.066
_cell_length_c 6.066
_cell_angle_alpha 90.00
_cell_angle_beta 90.00
_cell_angle_gamma 90.00
loop_
_atom_site_label
_atom_site_type_symbol
_atom_site_fract_x
_atom_site_fract_y
_atom_site_fract_z
_atom_site_occupancy
Li1 Li 0.000 0.000 0.000 1
Re1 Re 0.000 0.000 0.500 1
Re2 Re 0.250 0.250 0.250 1
Rh1 Rh 0.250 0.250 0.750 1
```

2.
Density functional theory data (PBE) for LiRe2Rh after structural relaxation.

calculated volume: 56.3 Å³/cell
density of states at the Fermi level: 3.182 states/eV/cell
total energy: -8.05 eV/atom
relative energy among the computed polymorphs: 1.71 eV/f.u.
mass density: 14212 kg/m³
calculated formation energy: 1.94 eV/f.u.

Geometry as CIF:
```
data_LiRe2Rh
_chemical_formula_sum 'Li1 Re2 Rh1'
_symmetry_space_group_name_H-M 'P 4/m m m'
_symmetry_Int_Tables_number 123
_symmetry_space_group_name_Hall '-P 4 2'
_cell_length_a 4.594
_cell_length_b 4.594
_cell_length_c 2.669
_cell_angle_alpha 90.00
_cell_angle_beta 90.00
_cell_angle_gamma 90.00
loop_
_atom_site_label
_atom_site_type_symbol
_atom_site_fract_x
_atom_site_fract_y
_atom_site_fract_z
_atom_site_occupancy
Li1 Li 0.000 0.000 0.000 1
Re1 Re 0.000 0.500 0.500 1
Rh1 Rh 0.500 0.500 0.000 1
```

3.
Density functional theory data (PBE) for Li2ReRh after structural relaxation.

calculated volume: 52.1 Å³/cell
density of states at the Fermi level: 3.921 states/eV/cell
total energy: -5.42 eV/atom
relative energy among the computed polymorphs: 1.71 eV/f.u.
mass density: 9658 kg/m³
calculated formation energy: 1.93 eV/f.u.

Geometry as CIF:
```
data_Li2ReRh
_chemical_formula_sum 'Li2 Re1 Rh1'
_symmetry_space_group_name_H-M 'P 4/m m m'
_symmetry_Int_Tables_number 123
_symmetry_space_group_name_Hall '-P 4 2'
_cell_length_a 4.543
_cell_length_b 4.543
_cell_length_c 2.524
_cell_angle_alpha 90.00
_cell_angle_beta 90.00
_cell_angle_gamma 90.00
loop_
_atom_site_label
_atom_site_type_symbol
_atom_site_fract_x
_atom_site_fract_y
_atom_site_fract_z
_atom_site_occupancy
Li1 Li 0.000 0.500 0.000 1
Re1 Re 0.000 0.000 0.500 1
Rh1 Rh 0.500 0.500 0.500 1
```

Q: The lowest calculated volume belongs to which entry?
A: Li2ReRh